one | {
  "formula": "NaLi2CdGe",
  "functional": "GGA-PBE",
  "state": "optimized geometry",
  "lattice": [[-4.205, -1.790, 1.998], [-1.260, -1.962, -4.409], [2.473, -4.408, 1.254]],
  "species": ["Cd", "Na", "Li", "Li", "Ge"],
  "frac_coords": [[0.000, 0.000, 0.500], [0.500, 0.500, 0.500], [0.000, 0.500, 0.000], [0.500, 0.000, 0.000], [0.000, 0.000, 0.000]],
  "crystal_system": "tetragonal",
  "volume_a3_per_atom": 25.91,
  "sg": "P4/mmm, No. 123",
  "rho_g_cm3": 2.84,
  "m_tot_mub_per_cell": 0.00
}

two | {
  "formula": "NaLi2CdGe",
  "functional": "GGA-PBE",
  "state": "optimized geometry",
  "lattice": [[4.953, 0.000, 0.000], [0.000, 4.953, 0.000], [0.000, 0.000, 5.452]],
  "species": ["Cd", "Na", "Li", "Li", "Ge"],
  "frac_coords": [[0.500, 0.500, 0.500], [0.000, 0.000, 0.500], [0.500, 0.000, 0.000], [0.000, 0.500, 0.000], [0.000, 0.000, 0.000]],
  "crystal_system": "tetragonal",
  "volume_a3_per_atom": 26.75,
  "sg": "P4/mmm, No. 123",
  "rho_g_cm3": 2.76,
  "m_tot_mub_per_cell": 0.00
}

Each structure's energy above the most stable one, in meV per atom: one 0; two 164.

one | {
  "formula": "Mg3CdGe",
  "functional": "GGA-PBE",
  "state": "optimized geometry",
  "lattice": [[-1.933, 4.534, -1.266], [-4.485, -1.358, 1.984], [1.430, 1.870, 4.511]],
  "species": ["Ge", "Mg", "Mg", "Mg", "Cd"],
  "frac_coords": [[0.000, 0.000, 0.000], [0.500, 0.000, 0.000], [0.000, 0.500, 0.000], [0.000, 0.000, 0.500], [0.500, 0.500, 0.500]],
  "crystal_system": "cubic",
  "volume_a3_per_atom": 26.35,
  "sg": "Pm-3m, No. 221",
  "rho_g_cm3": 3.25,
  "m_tot_mub_per_cell": 0.00
}

two | {
  "formula": "Mg3CdGe",
  "functional": "GGA-PBE",
  "state": "optimized geometry",
  "lattice": [[-3.968, -3.280, 0.380], [3.291, -3.977, 0.041], [0.267, 0.273, 5.148]],
  "species": ["Mg", "Mg", "Mg", "Ge", "Cd"],
  "frac_coords": [[0.000, 0.500, 0.000], [0.500, 0.000, 0.000], [0.000, 0.000, 0.500], [0.500, 0.500, 0.500], [0.000, 0.000, 0.000]],
  "crystal_system": "cubic",
  "volume_a3_per_atom": 27.51,
  "sg": "Pm-3m, No. 221",
  "rho_g_cm3": 3.11,
  "m_tot_mub_per_cell": 0.00
}

Each structure's energy above the most stable one, in meV per atom: one 0; two 355.

one | {
  "formula": "MgCdGe2",
  "functional": "GGA-PBE",
  "state": "optimized geometry",
  "lattice": [[0.000, 3.460, 3.460], [3.460, 0.000, 3.460], [3.460, 3.460, 0.000]],
  "species": ["Mg", "Ge", "Ge", "Cd"],
  "frac_coords": [[0.000, 0.000, 0.000], [0.750, 0.750, 0.750], [0.250, 0.250, 0.250], [0.500, 0.500, 0.500]],
  "crystal_system": "cubic",
  "volume_a3_per_atom": 20.71,
  "sg": "Fm-3m, No. 225",
  "rho_g_cm3": 5.65,
  "m_tot_mub_per_cell": 0.00
}

two | {
  "formula": "MgCdGe2",
  "functional": "GGA-PBE",
  "state": "optimized geometry",
  "lattice": [[4.170, 0.000, 0.000], [0.000, 4.405, 0.000], [0.000, 0.000, 4.405]],
  "species": ["Cd", "Ge", "Ge", "Mg"],
  "frac_coords": [[0.500, 0.000, 0.000], [0.000, 0.000, 0.500], [0.000, 0.500, 0.000], [0.500, 0.500, 0.500]],
  "crystal_system": "tetragonal",
  "volume_a3_per_atom": 20.23,
  "sg": "P4/mmm, No. 123",
  "rho_g_cm3": 5.79,
  "m_tot_mub_per_cell": 0.00
}

Each structure's energy above the most stable one, in meV per atom: one 58; two 0.

one | {
  "formula": "MgCd2Ge",
  "functional": "GGA-PBE",
  "state": "optimized geometry",
  "lattice": [[4.203, 0.000, 0.000], [0.000, 4.203, 0.000], [2.101, 2.101, 10.275]],
  "species": ["Mg", "Mg", "Ge", "Ge", "Cd", "Cd", "Cd", "Cd"],
  "frac_coords": [[0.250, 0.750, 0.500], [0.500, 0.500, 0.000], [0.750, 0.250, 0.500], [0.000, 0.000, 0.000], [0.875, 0.875, 0.750], [0.625, 0.125, 0.250], [0.125, 0.625, 0.250], [0.375, 0.375, 0.750]],
  "crystal_system": "tetragonal",
  "volume_a3_per_atom": 22.69,
  "sg": "I-42d, No. 122",
  "rho_g_cm3": 5.89,
  "m_tot_mub_per_cell": 0.00
}

two | {
  "formula": "MgCd2Ge",
  "functional": "GGA-PBE",
  "state": "optimized geometry",
  "lattice": [[-2.110, 1.680, 2.231], [-2.578, -0.096, -2.366], [-2.179, -6.222, 2.625]],
  "species": ["Cd", "Cd", "Ge", "Mg"],
  "frac_coords": [[0.000, 0.000, 0.255], [0.000, 0.000, 0.745], [0.500, 0.500, 0.500], [0.500, 0.500, 0.000]],
  "crystal_system": "tetragonal",
  "volume_a3_per_atom": 21.74,
  "sg": "P4/mmm, No. 123",
  "rho_g_cm3": 6.14,
  "m_tot_mub_per_cell": 0.00
}

three | {
  "formula": "MgCd2Ge",
  "functional": "GGA-PBE",
  "state": "optimized geometry",
  "lattice": [[4.794, 0.000, 0.000], [2.397, 4.151, 0.000], [2.397, 1.384, 4.656]],
  "species": ["Cd", "Cd", "Mg", "Ge"],
  "frac_coords": [[0.266, 0.266, 0.203], [0.061, 0.061, 0.818], [0.487, 0.487, 0.539], [0.686, 0.686, 0.941]],
  "crystal_system": "trigonal",
  "volume_a3_per_atom": 23.16,
  "sg": "R3m, No. 160",
  "rho_g_cm3": 5.77,
  "m_tot_mub_per_cell": 0.00
}

four | {
  "formula": "MgCd2Ge",
  "functional": "GGA-PBE",
  "state": "optimized geometry",
  "lattice": [[-1.029, -2.750, 0.893], [1.989, -2.209, 0.763], [0.147, 1.899, 11.286]],
  "species": ["Ge", "Cd", "Cd", "Mg"],
  "frac_coords": [[0.500, 0.500, 0.500], [0.910, 0.910, 0.269], [0.090, 0.090, 0.731], [0.000, 0.000, 0.000]],
  "crystal_system": "trigonal",
  "volume_a3_per_atom": 23.06,
  "sg": "R-3m, No. 166",
  "rho_g_cm3": 5.79,
  "m_tot_mub_per_cell": 0.00
}

Each structure's energy above the most stable one, in meV per atom: one 52; two 44; three 0; four 145.